Computed, not measured: a geometry-optimized Rb2InPb structure at the PBE-GGA level of DFT.

Values from the calculation:
Calculated formation energy: 0.1214 eV per atom
Relative energy among the computed polymorphs: 22.50 kJ/mol of atoms
V: 170.9 Å³/cell

abc: 6.229 6.229 6.229
angles: 60.00 60.00 60.00
Element x y z (fractional)
1 Rb 0.250 0.250 0.250
2 Rb 0.750 0.750 0.750
3 In 0.000 0.000 0.000
4 Pb 0.500 0.500 0.500

---

Computed, not measured: a geometry-optimized Rb2InPb structure at the PBE-GGA level of DFT.

Values from the calculation:
Calculated formation energy: -0.1118 eV per atom
Relative energy among the computed polymorphs: 0.00 kJ/mol of atoms
V: 359.3 Å³/cell

abc: 7.445 7.445 6.689
angles: 90.00 90.00 75.72
Element x y z (fractional)
1 Rb 0.020 0.326 0.250
2 Rb 0.326 0.020 0.750
3 Rb 0.674 0.980 0.250
4 Rb 0.980 0.674 0.750
5 In 0.500 0.500 0.000
6 In 0.500 0.500 0.500
7 Pb 0.228 0.772 0.250
8 Pb 0.772 0.228 0.750

---

Computed, not measured: a geometry-optimized Rb2In2Pb structure at the PBE-GGA level of DFT.

Values from the calculation:
Calculated formation energy: -0.0679 eV per atom
Relative energy among the computed polymorphs: 0.00 kJ/mol of atoms
V: 451.2 Å³/cell

abc: 7.954 7.954 7.810
angles: 96.39 96.39 111.30
Element x y z (fractional)
1 Rb 0.018 0.345 0.268
2 Rb 0.345 0.018 0.268
3 Rb 0.655 0.982 0.732
4 Rb 0.982 0.655 0.732
5 In 0.182 0.182 0.860
6 In 0.408 0.408 0.632
7 In 0.592 0.592 0.368
8 In 0.818 0.818 0.140
9 Pb 0.380 0.620 0.000
10 Pb 0.620 0.380 0.000

---

Computed, not measured: a geometry-optimized Rb3In6Pb5 structure at the PBE-GGA level of DFT.

Values from the calculation:
Calculated formation energy: -0.0810 eV per atom
V: 999.3 Å³/cell

abc: 5.018 14.977 13.298
angles: 90.00 90.00 90.00
Element x y z (fractional)
1 Rb 0.250 0.088 0.250
2 Rb 0.250 0.412 0.250
3 Rb 0.250 0.750 0.249
4 Rb 0.750 0.250 0.751
5 Rb 0.750 0.588 0.750
6 Rb 0.750 0.912 0.750
7 In 0.250 0.077 0.622
8 In 0.250 0.250 0.482
9 In 0.250 0.250 0.994
10 In 0.250 0.423 0.622
11 In 0.250 0.587 0.004
12 In 0.250 0.913 0.004
13 In 0.750 0.087 0.996
14 In 0.750 0.413 0.996
15 In 0.750 0.577 0.378
16 In 0.750 0.750 0.006
17 In 0.750 0.750 0.518
18 In 0.750 0.923 0.378
19 Pb 0.250 0.078 0.858
20 Pb 0.250 0.422 0.858
21 Pb 0.250 0.611 0.516
22 Pb 0.250 0.750 0.861
23 Pb 0.250 0.889 0.516
24 Pb 0.750 0.111 0.484
25 Pb 0.750 0.250 0.139
26 Pb 0.750 0.389 0.484
27 Pb 0.750 0.578 0.142
28 Pb 0.750 0.922 0.142

---

Computed, not measured: a geometry-optimized Rb2InPb structure at the PBE-GGA level of DFT.

Values from the calculation:
Calculated formation energy: -0.0557 eV per atom
Relative energy among the computed polymorphs: 5.41 kJ/mol of atoms
V: 203.3 Å³/cell

abc: 7.152 7.152 5.017
angles: 110.42 110.42 59.95
Element x y z (fractional)
1 Rb 0.185 0.185 0.185
2 Rb 0.815 0.815 0.815
3 In 0.519 0.481 0.000
4 Pb 0.303 0.697 0.500

---

Computed, not measured: a geometry-optimized RbIn2Pb4 structure at the PBE-GGA level of DFT.

Values from the calculation:
Calculated formation energy: -0.0447 eV per atom
Relative energy among the computed polymorphs: 0.00 kJ/mol of atoms
V: 235.0 Å³/cell

abc: 6.749 6.749 6.285
angles: 115.06 115.06 79.61
Element x y z (fractional)
1 Rb 0.000 0.000 0.000
2 In 0.489 0.489 0.239
3 In 0.511 0.511 0.761
4 Pb 0.000 0.384 0.688
5 Pb 0.000 0.616 0.312
6 Pb 0.384 0.000 0.688
7 Pb 0.616 0.000 0.312